(1)
Ac6ZnGe3: relaxed, GGA-PBE.

Structure (CIF):
```
data_Ac6ZnGe3
_chemical_formula_sum 'Ac12 Zn2 Ge6'
_cell_length_a 7.058
_cell_length_b 8.820
_cell_length_c 13.382
_cell_angle_alpha 90.00
_cell_angle_beta 120.11
_cell_angle_gamma 90.00
_space_group_name_H-M_alt 'P 1 21/c 1'
_space_group_IT_number 14
_space_group_name_Hall '-P 2ybc'
loop_
_atom_site_label
_atom_site_fract_x
_atom_site_fract_y
_atom_site_fract_z
Ac1 0.074 0.173 0.427
Ac2 0.279 0.680 0.421
Ac3 0.408 0.054 0.251
Zn1 0.000 0.000 0.000
Ge1 0.171 0.118 0.749
Ge2 0.500 0.000 0.500
```

Results
total moment = 0.0 μB per cell
calculated formation energy = -0.41 eV per atom
final energy = -4.39 eV per atom
Fermi-level density of states = 1.028 states/eV/atom

(2)
Be2GeBr: relaxed, GGA-PBE.

Structure (CIF):
```
data_Be2GeBr
_chemical_formula_sum 'Be4 Ge2 Br2'
_cell_length_a 3.511
_cell_length_b 3.511
_cell_length_c 14.889
_cell_angle_alpha 94.28
_cell_angle_beta 92.19
_cell_angle_gamma 116.80
_space_group_name_H-M_alt 'P 1'
_space_group_IT_number 1
_space_group_name_Hall 'P 1'
loop_
_atom_site_label
_atom_site_fract_x
_atom_site_fract_y
_atom_site_fract_z
Be1 0.000 0.000 0.000
Be2 0.063 0.941 0.527
Be3 0.349 0.679 0.033
Be4 0.698 0.358 0.064
Ge1 0.072 0.069 0.162
Ge2 0.626 0.289 0.902
Br1 0.100 0.487 0.622
Br2 0.526 0.893 0.431
```

Results
total moment = 0.0 μB per cell
final energy = -3.57 eV per atom
Fermi-level density of states = 0.054 states/eV/atom
energy above the most stable polymorph in this dataset = 0 meV/atom
raw formation energy = -0.521 eV/f.u.